Entry 1:
# Zn2Cd5Au5, relaxed, DFT GGA-PBE
# **E**: -25.343 eV per formula unit
# **Magnetization**: 0.00 μB per formula unit
data_Zn2Cd5Au5
_space_group_name_H-M_alt 'P 1'
_space_group_IT_number 1
_space_group_name_Hall 'P 1'
_cell_length_a 4.778
_cell_length_b 4.778
_cell_length_c 12.603
_cell_angle_alpha 97.47
_cell_angle_beta 97.47
_cell_angle_gamma 55.10
loop_
_atom_site_label
_atom_site_type_symbol
_atom_site_fract_x
_atom_site_fract_y
_atom_site_fract_z
_atom_site_occupancy
Zn1 Zn 0.096 0.096 0.216 1
Zn2 Zn 0.904 0.904 0.784 1
Cd1 Cd 0.182 0.182 0.670 1
Cd2 Cd 0.300 0.300 0.920 1
Cd3 Cd 0.500 0.500 0.500 1
Cd4 Cd 0.700 0.700 0.080 1
Cd5 Cd 0.818 0.818 0.330 1
Au1 Au 0.000 0.000 0.000 1
Au2 Au 0.164 0.164 0.426 1
Au3 Au 0.408 0.408 0.186 1
Au4 Au 0.592 0.592 0.814 1
Au5 Au 0.836 0.836 0.574 1

Entry 2:
# K2NdTc2N6, relaxed, DFT GGA-PBE
# **E**: -79.697 eV per formula unit
# **Magnetization**: 1.03 μB per formula unit
# **Formation energy from raw total energies**: -186.3 meV/atom
data_K2NdTc2N6
_space_group_name_H-M_alt 'P 1'
_space_group_IT_number 1
_space_group_name_Hall 'P 1'
_cell_length_a 6.344
_cell_length_b 6.344
_cell_length_c 7.515
_cell_angle_alpha 118.01
_cell_angle_beta 118.01
_cell_angle_gamma 59.86
loop_
_atom_site_label
_atom_site_type_symbol
_atom_site_fract_x
_atom_site_fract_y
_atom_site_fract_z
_atom_site_occupancy
K1 K 0.210 0.210 0.183 1
K2 K 0.790 0.790 0.817 1
Nd1 Nd 0.000 0.000 0.500 1
Tc1 Tc 0.456 0.456 0.794 1
Tc2 Tc 0.544 0.544 0.206 1
N1 N 0.235 0.705 0.239 1
N2 N 0.265 0.265 0.659 1
N3 N 0.295 0.765 0.761 1
N4 N 0.705 0.235 0.239 1
N5 N 0.735 0.735 0.341 1
N6 N 0.765 0.295 0.761 1

Entry 3:
# Ba2TaIr3O12, relaxed, DFT GGA-PBE
# **E**: -130.603 eV per formula unit
# **Magnetization**: 0.00 μB per formula unit
# **Formation energy from raw total energies**: -1601.3 meV/atom
data_Ba2TaIr3O12
_space_group_name_H-M_alt 'P 1'
_space_group_IT_number 1
_space_group_name_Hall 'P 1'
_cell_length_a 7.295
_cell_length_b 7.295
_cell_length_c 7.295
_cell_angle_alpha 58.36
_cell_angle_beta 58.36
_cell_angle_gamma 58.36
loop_
_atom_site_label
_atom_site_type_symbol
_atom_site_fract_x
_atom_site_fract_y
_atom_site_fract_z
_atom_site_occupancy
Ba1 Ba 0.119 0.119 0.119 1
Ba2 Ba 0.881 0.881 0.881 1
Ta1 Ta 0.500 0.500 0.500 1
Ir1 Ir 0.000 0.500 0.500 1
Ir2 Ir 0.500 0.000 0.500 1
Ir3 Ir 0.500 0.500 0.000 1
O1 O 0.167 0.579 0.579 1
O2 O 0.174 0.174 0.588 1
O3 O 0.174 0.588 0.174 1
O4 O 0.412 0.826 0.826 1
O5 O 0.421 0.421 0.833 1
O6 O 0.421 0.833 0.421 1
O7 O 0.579 0.167 0.579 1
O8 O 0.579 0.579 0.167 1
O9 O 0.588 0.174 0.174 1
O10 O 0.826 0.412 0.826 1
O11 O 0.826 0.826 0.412 1
O12 O 0.833 0.421 0.421 1